Entry 1:
Compound: DyIn5
Source: Alexandria via LeMat-Bulk
Functional: PBE
Structure: relaxed

a = 5.7361 Å, b = 5.7361 Å, c = 5.7606 Å
α = 101.12°, β = 101.12°, γ = 116.19°
Closest atoms and distances in Å follow each position.
Fractional coordinates of all 6 atoms:
Dy 0.0000 0.0000 0.0000  12 In 3.29-3.42
In 0.1664 0.8336 0.5000  10 In 3.24-3.44, 2 Dy 3.30
In 0.3381 0.6619 0.0000  9 In 3.15-3.48, 3 Dy 3.29-3.42
In 0.5000 0.5000 0.5000  10 In 3.25-3.44, 2 Dy 3.33
In 0.6619 0.3381 0.0000  9 In 3.15-3.48, 3 Dy 3.29-3.42
In 0.8336 0.1664 0.5000  10 In 3.24-3.44, 2 Dy 3.30

**Total magnetic moment**: 0.00 μB/f.u.
**Crystal system**: monoclinic
**Excess energy over the best structure of this formula in the dataset**: 0.0437 eV per atom
**DFT formation energy**: -151 meV per atom
**D(E_F)**: 2.9 states/eV/f.u.

---

Entry 2:
Compound: Dy5In3
Source: Alexandria via LeMat-Bulk
Functional: PBE
Structure: relaxed

a = 9.0801 Å, b = 9.0801 Å, c = 6.5186 Å
α = 90.00°, β = 90.00°, γ = 120.00°
Closest atoms and distances in Å follow each position.
Fractional coordinates of all 16 atoms:
Dy 0.0000 0.2347 0.2500  3 In 3.18-3.29
Dy 0.0000 0.7653 0.7500  3 In 3.18-3.29
Dy 0.2347 0.0000 0.2500  3 In 3.18-3.29
Dy 0.2347 0.2347 0.7500  3 In 3.18-3.29
Dy 0.3333 0.6667 0.0000  6 In 3.21, 2 Dy 3.26
Dy 0.3333 0.6667 0.5000  6 In 3.21, 2 Dy 3.26
Dy 0.6667 0.3333 0.0000  6 In 3.21, 2 Dy 3.26
Dy 0.6667 0.3333 0.5000  6 In 3.21, 2 Dy 3.26
Dy 0.7653 0.0000 0.7500  3 In 3.18-3.29
Dy 0.7653 0.7653 0.2500  3 In 3.18-3.29
In 0.0000 0.4025 0.7500  7 Dy 3.18-3.29
In 0.0000 0.5975 0.2500  7 Dy 3.18-3.29
In 0.4025 0.0000 0.7500  7 Dy 3.18-3.29
In 0.4025 0.4025 0.2500  7 Dy 3.18-3.29
In 0.5975 0.0000 0.2500  7 Dy 3.18-3.29
In 0.5975 0.5975 0.7500  7 Dy 3.18-3.29

**Total magnetic moment**: 0.00 μB/f.u.
**Crystal system**: hexagonal
**Excess energy over the best structure of this formula in the dataset**: 0.0258 eV per atom
**DFT formation energy**: -366 meV per atom
**D(E_F)**: 11.4 states/eV/f.u.

---

Entry 3:
Compound: Dy2In3
Source: Alexandria via LeMat-Bulk
Functional: PBE
Structure: relaxed

a = 6.6843 Å, b = 6.6843 Å, c = 6.6843 Å
α = 44.58°, β = 44.58°, γ = 44.58°
Closest atoms and distances in Å follow each position.
Fractional coordinates of all 5 atoms:
Dy 0.1031 0.1031 0.1031  6 In 3.14-3.25
Dy 0.8969 0.8969 0.8969  6 In 3.14-3.25
In 0.3085 0.3085 0.3085  3 In 3.06, 3 Dy 3.25
In 0.5000 0.5000 0.5000  6 Dy 3.14, 2 In 3.45
In 0.6915 0.6915 0.6915  3 In 3.06, 3 Dy 3.25

**Total magnetic moment**: 0.00 μB/f.u.
**Crystal system**: trigonal
**Excess energy over the best structure of this formula in the dataset**: 0.0388 eV per atom
**DFT formation energy**: -344 meV per atom
**D(E_F)**: 3.7 states/eV/f.u.

---

Look up the DFT formation energy of the third one. -344 meV per atom